Entry 1:
Entry from Alexandria: a geometry-optimized TiMn2HgTe structure (PBE).

Cell lengths 5.002, 5.116, 5.002 Å; angles 90.00, 90.00, 90.00 degrees
Site moments in Bohr magnetons follow the coordinates.
Positions (direct):
Te  0.000  0.500  0.000  0.13
Mn  0.000  0.000  0.500  3.69
Mn  0.500  0.000  0.000  3.94
Ti  0.000  0.000  0.000  -1.15
Hg  0.500  0.500  0.500  0.03

Summary:
* total moment: 7.02 μB/cell
* E_tot: -5.2112 eV per atom
* raw formation energy: 0.72 eV/atom
* V: 25.60 Å³/atom
* theoretical density: 6.3 g/cm³

***

Entry 2:
Entry from Alexandria: a geometry-optimized RbMg2TlCl6 structure (PBE).

Cell lengths 7.311, 9.857, 9.857 Å; angles 87.61, 82.18, 82.18 degrees
Positions (direct):
Cl  0.046  0.297  0.386
Cl  0.954  0.703  0.614
Cl  0.320  0.222  0.020
Cl  0.454  0.614  0.703
Cl  0.180  0.980  0.778
Cl  0.546  0.386  0.297
Cl  0.142  0.594  0.138
Cl  0.858  0.406  0.862
Cl  0.358  0.862  0.406
Cl  0.680  0.778  0.980
Cl  0.642  0.138  0.594
Cl  0.820  0.020  0.222
Tl  0.750  0.700  0.300
Tl  0.250  0.300  0.700
Mg  0.739  0.625  0.800
Mg  0.239  0.800  0.625
Mg  0.261  0.375  0.200
Mg  0.761  0.200  0.375
Rb  0.750  0.099  0.901
Rb  0.250  0.901  0.099

Summary:
* total moment: 0.00 μB/cell
* E_tot: -3.4460 eV per atom
* raw formation energy: -1.69 eV/atom
* V: 34.85 Å³/atom
* theoretical density: 2.6 g/cm³

***

no.,density of states at the Fermi level (states/eV/f.u.)
1,2.9
2,0.0